1.
Below is a PBEsol-optimized structure of Y2AlAg2, with properties calculated at the SCAN level.

Results
Total moment in μB/atom: 0.017
Uncorrected energy in eV/atom: -25.6366
Space-group type: No. 127

Cell: 7.532 7.532 3.908 Å, 90.00 90.00 90.00°
Fractional positions:
Y1 0.173 0.327 0.000
Y2 0.327 0.827 0.000
Y3 0.673 0.173 0.000
Y4 0.827 0.673 0.000
Al1 0.000 0.000 0.500
Al2 0.500 0.500 0.500
Ag1 0.130 0.630 0.500
Ag2 0.370 0.130 0.500
Ag3 0.630 0.870 0.500
Ag4 0.870 0.370 0.500



2.
Below is a PBEsol-optimized structure of YAl2Ag2, with properties calculated at the SCAN level.

Results
Total moment in μB/atom: 0.000
Uncorrected energy in eV/atom: -21.6411
Space-group type: No. 139

Cell: 4.146 4.146 11.362 Å, 90.00 90.00 90.00°
Fractional positions:
Y1 0.000 0.000 0.000
Y2 0.500 0.500 0.500
Al1 0.000 0.500 0.250
Al2 0.000 0.500 0.750
Al3 0.500 0.000 0.250
Al4 0.500 0.000 0.750
Ag1 0.000 0.000 0.385
Ag2 0.000 0.000 0.615
Ag3 0.500 0.500 0.115
Ag4 0.500 0.500 0.885